No. 1
This record from the Alexandria database describes a relaxed Ti8Ga2H crystal. The functional is PBE. Values from VASP.

Energy, eV per atom: -6.77
SG: C2/m

Geometry as Quantum ESPRESSO input:
```
&SYSTEM
  ibrav = 0, nat = 11, ntyp = 3
/
ATOMIC_SPECIES
Ti 47.87 Ti.upf
Ga 69.72 Ga.upf
H 1.01 H.upf
CELL_PARAMETERS angstrom
-4.0555 -2.2454 0.6419
0.4608 -2.2475 -4.9505
5.0761 -3.0482 4.3483
ATOMIC_POSITIONS crystal
Ti 0.7988 0.7788 0.5976
Ti 0.4000 0.5969 0.8000
Ga 0.8144 0.3018 0.6287
Ti 0.2012 0.2212 0.4024
H 0.5000 0.0000 0.0000
Ti 0.9977 0.7557 0.9953
Ti 0.3810 0.0834 0.7621
Ga 0.1856 0.6982 0.3713
Ti 0.6000 0.4031 0.2000
Ti 0.6190 0.9166 0.2379
Ti 0.0023 0.2443 0.0047
```


No. 2
This record from the Alexandria database describes a relaxed PmNdSm2Ho2 crystal. The functional is PBE. Values from VASP.

Energy, eV per atom: -4.42
SG: Pnnm

Geometry as Quantum ESPRESSO input:
```
&SYSTEM
  ibrav = 0, nat = 12, ntyp = 4
/
ATOMIC_SPECIES
Ho 164.93 Ho.upf
Nd 144.24 Nd.upf
Pm 145.00 Pm.upf
Sm 150.36 Sm.upf
CELL_PARAMETERS angstrom
3.4206 0.0000 0.0000
0.0000 6.6048 0.0000
0.0000 0.0000 18.1007
ATOMIC_POSITIONS crystal
Ho 0.0000 0.2771 0.1481
Nd 0.0000 0.0000 0.5000
Ho 0.0000 0.7229 0.8519
Ho 0.5000 0.2229 0.6481
Pm 0.5000 0.5000 0.5000
Sm 0.5000 0.2759 0.3129
Sm 0.0000 0.7759 0.1871
Ho 0.5000 0.7771 0.3519
Sm 0.0000 0.2241 0.8129
Pm 0.0000 0.0000 0.0000
Nd 0.5000 0.5000 0.0000
Sm 0.5000 0.7241 0.6871
```


No. 3
This record from the Alexandria database describes a relaxed Ti3MnRu4 crystal. The functional is PBE. Values from VASP.

Energy, eV per atom: -9.29
SG: P4/mmm

Geometry as Quantum ESPRESSO input:
```
&SYSTEM
  ibrav = 0, nat = 8, ntyp = 3
/
ATOMIC_SPECIES
Ru 101.07 Ru.upf
Ti 47.87 Ti.upf
Mn 54.94 Mn.upf
CELL_PARAMETERS angstrom
-2.5141 -1.7743 0.0753
1.5448 -2.2494 -1.4243
3.4683 -4.4559 10.7992
ATOMIC_POSITIONS crystal
Ru 0.0000 0.0000 0.1251
Ti 0.5000 0.5000 0.7553
Mn 0.5000 0.5000 0.0000
Ti 0.5000 0.5000 0.2447
Ti 0.5000 0.5000 0.5000
Ru 0.0000 0.0000 0.8749
Ru 0.0000 0.0000 0.3743
Ru 0.0000 0.0000 0.6257
```


No. 4
This record from the Alexandria database describes a relaxed Ta2AgPb crystal. The functional is PBE. Values from VASP.

Energy, eV per atom: -6.97
SG: Cmmm

Geometry as Quantum ESPRESSO input:
```
&SYSTEM
  ibrav = 0, nat = 4, ntyp = 3
/
ATOMIC_SPECIES
Pb 207.20 Pb.upf
Ta 180.95 Ta.upf
Ag 107.87 Ag.upf
CELL_PARAMETERS angstrom
3.0045 0.0984 0.0000
-0.7745 2.9046 0.0000
0.0000 0.0000 8.9738
ATOMIC_POSITIONS crystal
Pb 0.5000 0.5000 0.7500
Ta 0.0000 0.0000 0.4887
Ta 0.0000 0.0000 0.0113
Ag 0.5000 0.5000 0.2500
```


No. 5
This record from the Alexandria database describes a relaxed Li2OsBr crystal. The functional is PBE. Values from VASP.

Energy, eV per atom: -3.78
Formation energy (no corrections), eV per atom: 0.405
SG: P4mm

Geometry as Quantum ESPRESSO input:
```
&SYSTEM
  ibrav = 0, nat = 4, ntyp = 3
/
ATOMIC_SPECIES
Li 6.94 Li.upf
Os 190.23 Os.upf
Br 79.90 Br.upf
CELL_PARAMETERS angstrom
-2.8771 -0.1380 1.3884
0.2980 -3.1692 0.3025
2.7910 0.8222 5.8654
ATOMIC_POSITIONS crystal
Li 0.5000 0.5000 0.2301
Os 0.0000 0.0000 0.4431
Br 0.5000 0.5000 0.8304
Li 0.0000 0.0000 0.9964
```


No. 6
This record from the Alexandria database describes a relaxed SrSb2As crystal. The functional is PBE. Values from VASP.

Energy, eV per atom: -4.03
Formation energy (no corrections), eV per atom: -0.385
SG: P2/m

Geometry as Quantum ESPRESSO input:
```
&SYSTEM
  ibrav = 0, nat = 4, ntyp = 3
/
ATOMIC_SPECIES
As 74.92 As.upf
Sb 121.76 Sb.upf
Sr 87.62 Sr.upf
CELL_PARAMETERS angstrom
4.2356 0.0000 0.0000
0.0000 5.1164 -0.0073
0.0000 2.3093 5.7143
ATOMIC_POSITIONS crystal
As 0.5000 0.7500 0.7500
Sb 0.0000 0.9108 0.0008
Sr 0.5000 0.2500 0.2500
Sb 0.0000 0.5892 0.4992
```


No. 7
This record from the Alexandria database describes a relaxed HfScRu crystal. The functional is PBE. Values from VASP.

Energy, eV per atom: -8.94
SG: P3m1

Geometry as Quantum ESPRESSO input:
```
&SYSTEM
  ibrav = 0, nat = 6, ntyp = 3
/
ATOMIC_SPECIES
Sc 44.96 Sc.upf
Hf 178.49 Hf.upf
Ru 101.07 Ru.upf
CELL_PARAMETERS angstrom
4.6639 0.0000 0.0000
-2.3319 4.0390 0.0000
0.0000 0.0000 5.8997
ATOMIC_POSITIONS crystal
Sc 0.0000 0.0000 0.9131
Sc 0.3333 0.6667 0.7172
Hf 0.0000 0.0000 0.4142
Hf 0.6667 0.3333 0.1155
Ru 0.3333 0.6667 0.2405
Ru 0.6667 0.3333 0.5942
```


No. 8
This record from the Alexandria database describes a relaxed Cs3YHo2Se6 crystal. The functional is PBE. Values from VASP.

Energy, eV per atom: -4.98
Formation energy (no corrections), eV per atom: -1.728
SG: C2/m

Geometry as Quantum ESPRESSO input:
```
&SYSTEM
  ibrav = 0, nat = 12, ntyp = 4
/
ATOMIC_SPECIES
Se 78.96 Se.upf
Y 88.91 Y.upf
Ho 164.93 Ho.upf
Cs 132.91 Cs.upf
CELL_PARAMETERS angstrom
-6.5634 -0.1050 -3.3558
6.1893 -0.1475 -4.0027
0.1115 -8.2813 2.7409
ATOMIC_POSITIONS crystal
Se 0.9382 0.6035 0.8148
Y 0.0000 0.0000 0.0000
Ho 0.3333 0.6667 0.0000
Cs 0.1664 0.8336 0.5000
Se 0.0618 0.3965 0.1852
Cs 0.8336 0.1664 0.5000
Cs 0.5000 0.5000 0.5000
Se 0.6035 0.9382 0.8148
Ho 0.6667 0.3333 0.0000
Se 0.2731 0.2731 0.8149
Se 0.3965 0.0618 0.1852
Se 0.7269 0.7269 0.1851
```


No. 9
This record from the Alexandria database describes a relaxed AcNd15Tl4 crystal. The functional is PBE. Values from VASP.

Energy, eV per atom: -4.40
SG: P4/mmm

Geometry as Quantum ESPRESSO input:
```
&SYSTEM
  ibrav = 0, nat = 20, ntyp = 3
/
ATOMIC_SPECIES
Nd 144.24 Nd.upf
Ac 227.00 Ac.upf
Tl 204.38 Tl.upf
CELL_PARAMETERS angstrom
-2.9205 -1.6179 3.7453
-1.6726 -3.7263 -2.9139
19.0633 -15.0853 8.3487
ATOMIC_POSITIONS crystal
Nd 0.0000 0.5000 0.1093
Ac 0.0000 0.0000 0.0000
Nd 0.0000 0.5000 0.5000
Nd 0.0000 0.5000 0.8907
Nd 0.5000 0.5000 0.7912
Nd 0.5000 0.5000 0.4024
Nd 0.0000 0.5000 0.3054
Tl 0.0000 0.0000 0.2082
Tl 0.0000 0.0000 0.7918
Nd 0.5000 0.5000 0.0000
Nd 0.5000 0.0000 0.8907
Nd 0.5000 0.0000 0.5000
Tl 0.0000 0.0000 0.5971
Nd 0.5000 0.0000 0.3054
Tl 0.0000 0.0000 0.4029
Nd 0.5000 0.5000 0.5976
Nd 0.5000 0.0000 0.1093
Nd 0.5000 0.5000 0.2088
Nd 0.0000 0.5000 0.6946
Nd 0.5000 0.0000 0.6946
```


No. 10
This record from the Alexandria database describes a relaxed ErNi2Hg crystal. The functional is PBE. Values from VASP.

Energy, eV per atom: -4.29
SG: P4/mmm

Geometry as Quantum ESPRESSO input:
```
&SYSTEM
  ibrav = 0, nat = 4, ntyp = 3
/
ATOMIC_SPECIES
Hg 200.59 Hg.upf
Ni 58.69 Ni.upf
Er 167.26 Er.upf
CELL_PARAMETERS angstrom
-2.0327 -2.5468 -1.4519
2.7266 -3.0452 1.5243
-2.3276 -0.2412 3.6817
ATOMIC_POSITIONS crystal
Hg 0.5000 0.0000 0.0000
Ni 0.0000 0.0000 0.5000
Ni 0.0000 0.5000 0.0000
Er 0.5000 0.5000 0.5000
```


No. 11
This record from the Alexandria database describes a relaxed Ce5CdIn4 crystal. The functional is PBE. Values from VASP.

Energy, eV per atom: -4.48
SG: P4/mmm

Geometry as Quantum ESPRESSO input:
```
&SYSTEM
  ibrav = 0, nat = 10, ntyp = 3
/
ATOMIC_SPECIES
Cd 112.41 Cd.upf
Ce 140.12 Ce.upf
In 114.82 In.upf
CELL_PARAMETERS angstrom
-2.8908 -1.5429 0.4124
0.6527 -1.9198 -2.6069
10.6939 -16.1421 14.5652
ATOMIC_POSITIONS crystal
Cd 0.0000 0.0000 0.0000
Ce 0.5000 0.5000 0.9004
Ce 0.5000 0.5000 0.5000
Ce 0.5000 0.5000 0.0996
In 0.0000 0.0000 0.6003
In 0.0000 0.0000 0.8007
Ce 0.5000 0.5000 0.2995
In 0.0000 0.0000 0.3997
In 0.0000 0.0000 0.1993
Ce 0.5000 0.5000 0.7005
```


No. 12
This record from the Alexandria database describes a relaxed Cs2Te4N3 crystal. The functional is PBE. Values from VASP.

Energy, eV per atom: -3.75
Formation energy (no corrections), eV per atom: 0.616
SG: Cccm

Geometry as Quantum ESPRESSO input:
```
&SYSTEM
  ibrav = 0, nat = 18, ntyp = 3
/
ATOMIC_SPECIES
N 14.01 N.upf
Te 127.60 Te.upf
Cs 132.91 Cs.upf
CELL_PARAMETERS angstrom
8.5484 -7.0054 0.0000
8.5484 7.0054 0.0000
0.0000 0.0000 5.7314
ATOMIC_POSITIONS crystal
N 0.1750 0.8250 0.2500
N 0.5000 0.5000 0.2500
Te 0.0488 0.8475 0.0000
Te 0.6229 0.9418 0.5000
N 0.8250 0.1750 0.2500
Cs 0.2441 0.5443 0.5000
Cs 0.4557 0.7559 0.0000
Te 0.3771 0.0582 0.5000
Te 0.8475 0.0488 0.5000
Te 0.9418 0.6229 0.0000
Cs 0.5443 0.2441 0.0000
Cs 0.7559 0.4557 0.5000
N 0.1750 0.8250 0.7500
N 0.5000 0.5000 0.7500
Te 0.9512 0.1525 0.0000
Te 0.0582 0.3771 0.0000
N 0.8250 0.1750 0.7500
Te 0.1525 0.9512 0.5000
```


The highest energy belongs to which entry?
Cs2Te4N3